(1)
A relaxed structure of ZnHgAsO. Source: OQMD, functional GGA-PBE.

Cell and atoms, written as extended XYZ:
```
8
Lattice="4.1047 0.0000 0.0000 0.0000 4.1047 0.0000 0.0000 0.0000 9.6400" Properties=species:S:1:pos:R:3 pbc="T T T"
Hg 2.0524 2.0524 4.8200
Hg 0.0000 0.0000 4.8200
Zn 0.0000 2.0524 0.2817
Zn 2.0524 0.0000 9.3584
O 0.0000 0.0000 0.0000
O 2.0524 2.0524 0.0000
As 0.0000 2.0524 2.9598
As 2.0524 0.0000 6.6802
```

Properties
- energy above the lowest structure with this stoichiometry (eV per formula unit) = 0.31
- space-group type = P4/nmm, No. 129

---

(2)
A relaxed structure of Gd3SbTe2. Source: OQMD, functional GGA-PBE.

Cell and atoms, written as extended XYZ:
```
6
Lattice="4.4126 0.0000 0.0000 -2.2063 3.8214 0.0000 0.0000 0.0000 10.7391" Properties=species:S:1:pos:R:3 pbc="T T T"
Te 2.2063 1.2738 7.1650
Te 0.0000 2.5476 3.5740
Gd 0.0000 2.5476 9.0192
Gd 0.0000 0.0000 5.3695
Gd 2.2063 1.2738 1.7198
Sb 0.0000 0.0000 0.0000
```

Properties
- raw total energy (eV per atom) = -5.3717
- space-group type = P-3m1, No. 164

---

(3)
A relaxed structure of TbAgBiSb. Source: OQMD, functional GGA-PBE.

Cell and atoms, written as extended XYZ:
```
8
Lattice="4.4292 0.0000 0.0000 0.0000 4.4292 0.0000 0.0000 0.0000 10.3713" Properties=species:S:1:pos:R:3 pbc="T T T"
Tb 0.0000 2.2146 2.6233
Tb 2.2146 0.0000 7.7480
Sb 0.0000 2.2146 8.4718
Sb 2.2146 0.0000 1.8995
Bi 0.0000 0.0000 5.1856
Bi 2.2146 2.2146 5.1856
Ag 0.0000 0.0000 0.0000
Ag 2.2146 2.2146 0.0000
```

Properties
- energy above the lowest structure with this stoichiometry (eV per formula unit) = 0.00
- space-group type = P4/nmm, No. 129